This record from the Alexandria database describes a relaxed structure of LaP3Pb. The functional is PBE.

```
5
Lattice="5.3920 0.0000 0.0000 0.0000 5.3920 0.0000 0.0000 0.0000 5.3920" Properties=species:S:1:pos:R:3 pbc="T T T"
Pb 2.6960 2.6960 2.6960
P 2.6960 0.0000 0.0000
P 0.0000 2.6960 0.0000
P 0.0000 0.0000 2.6960
La 0.0000 0.0000 0.0000
```

Properties
- crystal system = cubic
- space group = Pm-3m
- E above lowest polymorph (eV/atom) = 0.202
- total energy (eV/atom) = -4.39
- E_form (eV per atom) = 0.585